(1)
A relaxed CaS crystal. Source: the Alexandria database, functional PBEsol.

Structure (CIF):
```
data_CaS
_cell_length_a 5.6377
_cell_length_b 5.6377
_cell_length_c 5.6377
_cell_angle_alpha 90.00
_cell_angle_beta 90.00
_cell_angle_gamma 90.00
_space_group_name_H-M_alt 'F m -3 m'
_space_group_IT_number 225
_space_group_name_Hall '-F 4 2 3'
loop_
_atom_site_label
_atom_site_fract_x
_atom_site_fract_y
_atom_site_fract_z
_atom_site_occupancy
Ca1 0.0000 0.0000 0.0000 1
S1 0.0000 0.0000 0.5000 1
```

---

(2)
A relaxed Ca2Sb2S5 crystal. Source: the Alexandria database, functional PBEsol.

Structure (CIF):
```
data_Ca2Sb2S5
_cell_length_a 14.8901
_cell_length_b 5.6329
_cell_length_c 11.2283
_cell_angle_alpha 90.00
_cell_angle_beta 111.50
_cell_angle_gamma 90.00
_space_group_name_H-M_alt 'P 1 21/c 1'
_space_group_IT_number 14
loop_
_space_group_symop_operation_xyz
'x,y,z'
'-x,-y,-z'
'-x,y+1/2,-z+1/2'
'x,-y+1/2,z+1/2'
loop_
_atom_site_label
_atom_site_fract_x
_atom_site_fract_y
_atom_site_fract_z
_atom_site_occupancy
Ca1 0.1059 0.2307 0.3048 1
Ca2 0.3350 0.2368 0.1669 1
Sb1 0.1218 0.7407 0.5707 1
Sb2 0.3814 0.6594 0.9426 1
S1 0.0995 0.7324 0.2819 1
S2 0.1173 0.2036 0.0601 1
S3 0.2994 0.7377 0.1560 1
S4 0.3053 0.2343 0.4026 1
S5 0.4995 0.0067 0.6542 1
```

---

no.,total moment (μB/f.u.),ΔE_f (raw) (eV/atom),total energy (eV per cell)
1,0.0,-2.200,-43.7
2,0.0,-1.125,-181.7